1.
## V2B2Te (PBE)

Data for an optimized crystal structure of V2B2Te.

CIF file:
```
data_V2B2Te
_space_group_name_H-M_alt 'I 4/m m m'
_space_group_IT_number 139
_space_group_name_Hall '-I 4 2'
_cell_length_a 3.185
_cell_length_b 3.185
_cell_length_c 12.451
_cell_angle_alpha 90.00
_cell_angle_beta 90.00
_cell_angle_gamma 90.00
loop_
_atom_site_label
_atom_site_fract_x
_atom_site_fract_y
_atom_site_fract_z
V1 0.000 0.000 0.126
B1 0.000 0.500 0.250
Te1 0.000 0.000 0.500
```

Calculated values
- V (Å³ per atom) = 12.627
- total magnetization (μB/cell) = 0.01
- formation energy without anion corrections (eV/atom) = 0.2471

***

2.
## BTe3W (PBE)

Data for an optimized crystal structure of BTe3W.

CIF file:
```
data_BTe3W
_space_group_name_H-M_alt 'P m -3 m'
_space_group_IT_number 221
_space_group_name_Hall '-P 4 2 3'
_cell_length_a 5.311
_cell_length_b 5.311
_cell_length_c 5.311
_cell_angle_alpha 90.00
_cell_angle_beta 90.00
_cell_angle_gamma 90.00
loop_
_atom_site_label
_atom_site_fract_x
_atom_site_fract_y
_atom_site_fract_z
B1 0.000 0.000 0.000
Te1 0.000 0.500 0.500
W1 0.500 0.500 0.500
```

Calculated values
- V (Å³ per atom) = 29.963
- total magnetization (μB/cell) = 0.67
- formation energy without anion corrections (eV/atom) = 1.4638

***

3.
## B2TeW (PBE)

Data for an optimized crystal structure of B2TeW.

CIF file:
```
data_B2TeW
_space_group_name_H-M_alt 'I -4 2 d'
_space_group_IT_number 122
_space_group_name_Hall 'I -4 2bw'
_cell_length_a 5.251
_cell_length_b 5.251
_cell_length_c 9.882
_cell_angle_alpha 90.00
_cell_angle_beta 90.00
_cell_angle_gamma 90.00
loop_
_atom_site_label
_atom_site_fract_x
_atom_site_fract_y
_atom_site_fract_z
B1 0.218 0.250 0.125
Te1 0.000 0.000 0.500
W1 0.000 0.000 0.000
```

Calculated values
- V (Å³ per atom) = 17.027
- total magnetization (μB/cell) = 0.00
- formation energy without anion corrections (eV/atom) = 0.9757

***

4.
## BTe3W (PBE)

Data for an optimized crystal structure of BTe3W.

CIF file:
```
data_BTe3W
_space_group_name_H-M_alt 'P m -3 m'
_space_group_IT_number 221
_space_group_name_Hall '-P 4 2 3'
_cell_length_a 4.737
_cell_length_b 4.737
_cell_length_c 4.737
_cell_angle_alpha 90.00
_cell_angle_beta 90.00
_cell_angle_gamma 90.00
loop_
_atom_site_label
_atom_site_fract_x
_atom_site_fract_y
_atom_site_fract_z
B1 0.000 0.000 0.000
Te1 0.000 0.000 0.500
W1 0.500 0.500 0.500
```

Calculated values
- V (Å³ per atom) = 21.255
- total magnetization (μB/cell) = 2.03
- formation energy without anion corrections (eV/atom) = 1.3297

***

5.
## Y3BTe2 (PBE)

Data for an optimized crystal structure of Y3BTe2.

CIF file:
```
data_Y3BTe2
_space_group_name_H-M_alt 'F d d d'
_space_group_IT_number 70
_cell_length_a 8.540
_cell_length_b 11.883
_cell_length_c 24.730
_cell_angle_alpha 90.00
_cell_angle_beta 90.00
_cell_angle_gamma 90.00
loop_
_space_group_symop_operation_xyz
'x,y,z'
'-x,-y,-z'
'-x+1/4,-y+1/4,z'
'x+1/4,y+1/4,-z'
'x,-y+1/4,-z+1/4'
'-x,y+1/4,z+1/4'
'-x+1/4,y,-z+1/4'
'x+1/4,-y,z+1/4'
'x,y+1/2,z+1/2'
'-x,-y+1/2,-z+1/2'
'-x+1/4,-y+3/4,z+1/2'
'x+1/4,y+3/4,-z+1/2'
'x,-y+3/4,-z+3/4'
'-x,y+3/4,z+3/4'
'-x+1/4,y+1/2,-z+3/4'
'x+1/4,-y+1/2,z+3/4'
'x+1/2,y,z+1/2'
'-x+1/2,-y,-z+1/2'
'-x+3/4,-y+1/4,z+1/2'
'x+3/4,y+1/4,-z+1/2'
'x+1/2,-y+1/4,-z+3/4'
'-x+1/2,y+1/4,z+3/4'
'-x+3/4,y,-z+3/4'
'x+3/4,-y,z+3/4'
'x+1/2,y+1/2,z'
'-x+1/2,-y+1/2,-z'
'-x+3/4,-y+3/4,z'
'x+3/4,y+3/4,-z'
'x+1/2,-y+3/4,-z+1/4'
'-x+1/2,y+3/4,z+1/4'
'-x+3/4,y+1/2,-z+1/4'
'x+3/4,-y+1/2,z+1/4'
loop_
_atom_site_label
_atom_site_fract_x
_atom_site_fract_y
_atom_site_fract_z
Y1 0.075 0.375 0.375
Y2 0.102 0.354 0.217
B1 0.125 0.125 0.041
Te1 0.125 0.125 0.381
Te2 0.125 0.125 0.547
```

Calculated values
- V (Å³ per atom) = 26.144
- total magnetization (μB/cell) = 0.00
- formation energy without anion corrections (eV/atom) = -1.0027

***

6.
## YBTe2 (PBE)

Data for an optimized crystal structure of YBTe2.

CIF file:
```
data_YBTe2
_space_group_name_H-M_alt 'I -4 2 d'
_space_group_IT_number 122
_space_group_name_Hall 'I -4 2bw'
_cell_length_a 6.696
_cell_length_b 6.696
_cell_length_c 9.425
_cell_angle_alpha 90.00
_cell_angle_beta 90.00
_cell_angle_gamma 90.00
loop_
_atom_site_label
_atom_site_fract_x
_atom_site_fract_y
_atom_site_fract_z
Y1 0.000 0.000 0.000
B1 0.000 0.000 0.500
Te1 0.161 0.750 0.625
```

Calculated values
- V (Å³ per atom) = 26.409
- total magnetization (μB/cell) = 0.00
- formation energy without anion corrections (eV/atom) = 0.0421

***

7.
## YBTe2 (PBE)

Data for an optimized crystal structure of YBTe2.

CIF file:
```
data_YBTe2
_space_group_name_H-M_alt 'R -3 m'
_space_group_IT_number 166
_space_group_name_Hall '-R 3 2"'
_cell_length_a 4.2325
_cell_length_b 4.2325
_cell_length_c 23.9665
_cell_angle_alpha 90.00
_cell_angle_beta 90.00
_cell_angle_gamma 120.00
loop_
_atom_site_label
_atom_site_fract_x
_atom_site_fract_y
_atom_site_fract_z
Y1 0.0000 0.0000 0.0000
B1 0.0000 0.0000 0.5000
Te1 0.0000 0.0000 0.4121
```

Calculated values
- V (Å³ per atom) = 30.985
- total magnetization (μB/cell) = 0.00
- formation energy without anion corrections (eV/atom) = 0.1361

***

8.
## YB2Te (PBE)

Data for an optimized crystal structure of YB2Te.

CIF file:
```
data_YB2Te
_space_group_name_H-M_alt 'I -4 2 d'
_space_group_IT_number 122
_space_group_name_Hall 'I -4 2bw'
_cell_length_a 6.425
_cell_length_b 6.425
_cell_length_c 6.978
_cell_angle_alpha 90.00
_cell_angle_beta 90.00
_cell_angle_gamma 90.00
loop_
_atom_site_label
_atom_site_fract_x
_atom_site_fract_y
_atom_site_fract_z
Y1 0.000 0.000 0.000
B1 0.205 0.250 0.625
Te1 0.000 0.000 0.500
```

Calculated values
- V (Å³ per atom) = 18.005
- total magnetization (μB/cell) = 0.00
- formation energy without anion corrections (eV/atom) = 0.5478

***

Which of these has the lowest V?
V2B2Te

***

Number 3 is which compound?
B2TeW

***

The lowest formation energy without anion corrections belongs to which entry?
Y3BTe2